VASP calculation (PBE) on a geometry-optimized BaCaTe2 structure. Values from VASP.

Structure (Quantum ESPRESSO input):
```
&SYSTEM
  ibrav = 0, nat = 4, ntyp = 3
/
ATOMIC_SPECIES
Te 127.60 Te.upf
Ca 40.08 Ca.upf
Ba 137.33 Ba.upf
CELL_PARAMETERS angstrom
5.878 -0.003 -0.043
0.043 5.878 0.043
-2.454 -3.448 4.081
ATOMIC_POSITIONS angstrom
Te 2.861 2.839 0.000
Te 0.099 0.099 0.000
Ca 0.275 2.684 2.062
Ba 3.192 -0.257 2.019
```

SG = Immm
Uncorrected formation energy = -1.45 eV per atom
Density = 5.09 g cm⁻³

---

VASP calculation (PBE) on a geometry-optimized Pm3Ge5S12 structure. Values from VASP.

Structure (Quantum ESPRESSO input):
```
&SYSTEM
  ibrav = 0, nat = 80, ntyp = 3
/
ATOMIC_SPECIES
Pm 145.00 Pm.upf
S 32.06 S.upf
Ge 72.64 Ge.upf
CELL_PARAMETERS angstrom
13.401 0.000 0.000
-4.467 12.635 0.000
-4.467 -6.317 10.942
ATOMIC_POSITIONS angstrom
Pm 10.051 0.000 2.735
Pm -3.350 -2.369 9.574
Pm 1.117 6.317 2.735
Pm 3.350 7.107 6.839
Pm 3.350 0.000 8.206
Pm -1.117 5.528 6.839
Pm -3.350 2.369 9.574
Pm 7.817 3.948 1.368
Pm 1.117 -0.790 4.103
Pm -5.584 6.317 8.206
Pm 7.817 8.686 1.368
Pm 5.584 0.790 4.103
S 10.044 2.920 3.098
S -1.638 -0.620 5.122
S -1.680 0.038 8.918
S -3.357 10.699 1.394
S 6.739 11.227 0.349
S 1.680 -1.734 9.897
S -0.553 8.089 0.980
S -0.596 0.967 2.373
S 0.596 7.904 7.495
S 2.195 8.470 4.426
S 7.296 -0.967 2.373
S 2.787 8.052 1.045
S -2.272 -4.910 10.593
S -1.123 4.382 9.548
S 5.590 9.715 3.098
S 5.020 -1.772 9.962
S -4.505 9.074 4.077
S 6.739 3.560 4.077
S 1.680 1.772 9.962
S 3.344 5.333 4.491
S 8.896 1.408 0.349
S -1.110 7.301 4.491
S -2.272 2.757 6.865
S 9.487 6.355 2.024
S 2.272 -2.153 6.516
S 4.429 2.153 6.516
S -4.429 4.910 10.593
S 8.339 0.620 5.122
S -1.123 -3.398 7.844
S 3.872 -1.587 3.447
S 6.105 6.937 5.820
S 5.020 1.734 9.897
S 7.824 -4.382 9.548
S 6.147 6.280 2.024
S 1.638 4.730 7.495
S 0.038 4.165 4.426
S 5.063 5.350 8.569
S 5.577 -0.984 6.451
S 1.123 0.984 6.451
S 2.787 4.546 0.980
S -2.829 7.285 8.569
S -3.872 5.698 5.820
S 5.590 1.936 1.394
S -5.577 3.398 7.844
S 8.972 -2.757 6.865
S 2.829 1.587 3.447
S -5.020 -0.038 8.918
S -0.553 4.583 1.045
Ge 4.467 6.317 0.000
Ge -3.350 7.107 4.103
Ge -4.467 3.159 5.471
Ge -2.234 -3.159 5.471
Ge 2.234 3.159 5.471
Ge 1.117 -3.159 8.206
Ge 7.817 -0.790 6.839
Ge 4.467 -3.159 5.471
Ge 1.117 3.948 9.574
Ge -1.117 3.159 2.735
Ge -1.117 0.790 6.839
Ge -2.234 6.317 0.000
Ge -1.117 10.266 1.368
Ge 5.584 3.159 8.206
Ge 3.350 2.369 1.368
Ge 0.000 0.000 0.000
Ge 6.701 0.000 0.000
Ge 5.584 -3.948 9.574
Ge 5.584 5.528 4.103
Ge 3.350 9.476 2.735
```

SG = Ia-3d
Uncorrected formation energy = -0.91 eV per atom
Density = 4.24 g cm⁻³